Compound: KPrTe4
Source: Alexandria via LeMat-Bulk
Functional: PBEsol
Structure: relaxed

Cell lengths 6.842, 6.842, 8.819 Å; angles 90.00, 90.00, 90.00 degrees
Fractional positions:
Te 0.645 0.145 0.283
Te 0.355 0.855 0.283
Te 0.855 0.645 0.283
Te 0.145 0.645 0.717
Te 0.855 0.355 0.717
Te 0.645 0.855 0.717
Te 0.145 0.355 0.283
Te 0.355 0.145 0.717
Pr 0.000 0.000 0.500
Pr 0.500 0.500 0.500
K 0.000 0.000 0.000
K 0.500 0.500 0.000

## Properties
ΔE_f (raw): -5.7 eV/f.u.
Total moment: 0.00 μB per formula unit